## i
The following is a PBE with a Hubbard U calculation of a relaxed Cs4Rb2ZnCoO5 crystal, from OQMD.

```
data_Cs4Rb2ZnCoO5
_chemical_formula_sum 'Cs8 Rb4 Zn2 Co2 O10'
_cell_length_a 7.3511
_cell_length_b 12.1958
_cell_length_c 7.1967
_cell_angle_alpha 90.00
_cell_angle_beta 97.23
_cell_angle_gamma 90.00
_space_group_name_H-M_alt 'C 1 m 1'
_space_group_IT_number 8
_space_group_name_Hall 'C -2y'
loop_
_atom_site_label
_atom_site_type_symbol
_atom_site_fract_x
_atom_site_fract_y
_atom_site_fract_z
Cs1 Cs 0.0000 0.2034 0.0000
Cs2 Cs 0.4978 0.2589 0.4951
Rb1 Rb 0.1224 0.5000 0.8460
Rb2 Rb 0.3589 0.0000 0.1989
Zn1 Zn 0.3109 0.5000 0.3074
Co1 Co 0.2136 0.0000 0.6727
O1 O 0.0602 0.0000 0.4307
O2 O 0.1888 0.3676 0.2218
O3 O 0.2961 0.1309 0.7728
```


## ii
The following is a PBE with a Hubbard U calculation of a relaxed Cs4Rb2ZnCoO5 crystal, from OQMD.

```
data_Cs4Rb2ZnCoO5
_chemical_formula_sum 'Cs8 Rb4 Zn2 Co2 O10'
_cell_length_a 7.3704
_cell_length_b 12.1050
_cell_length_c 7.1475
_cell_angle_alpha 90.00
_cell_angle_beta 94.45
_cell_angle_gamma 90.00
_space_group_name_H-M_alt 'C 1 m 1'
_space_group_IT_number 8
_space_group_name_Hall 'C -2y'
loop_
_atom_site_label
_atom_site_type_symbol
_atom_site_fract_x
_atom_site_fract_y
_atom_site_fract_z
Cs1 Cs 0.0000 0.0000 0.0000
Cs2 Cs 0.1505 0.2904 0.8017
Cs3 Cs 0.2882 0.0000 0.5920
Rb1 Rb 0.1537 0.2680 0.2996
Zn1 Zn 0.3511 0.5000 0.4678
Co1 Co 0.4456 0.0000 0.1067
O1 O 0.1844 0.5000 0.2457
O2 O 0.3481 0.1356 0.0474
O3 O 0.4526 0.3636 0.5623
```


Which is most stable, and by how much? ii, by 91 meV/atom.